Record 1
VASP calculation (SCAN) on a crystal of BaRuAu relaxed with PBEsol.

```
BaRuAu
1.0
-1.804 1.804 5.431
1.804 -1.804 5.431
1.804 1.804 -5.431
Ba Ru Au
1 1 1
direct
0.000 0.000 0.000
0.279 0.279 0.000
0.713 0.713 0.000
```

Values from the calculation:
Its space group is I4mm. As for the density of states at the Fermi level: 0.832 states/eV/atom. As for the formation energy from the elements: 264.9 meV/atom. As for the volume: 23.578 Å³/atom. The crystal system is tetragonal.

***

Record 2
VASP calculation (SCAN) on a crystal of SrLiOs relaxed with PBEsol.

```
SrLiOs
1.0
2.991 0.000 0.000
-1.495 2.590 0.000
0.000 0.000 7.752
Sr Li Os
1 1 1
direct
0.000 0.000 0.000
0.333 0.667 0.576
0.667 0.333 0.313
```

Values from the calculation:
Its space group is P3m1. As for the density of states at the Fermi level: 0.842 states/eV/atom. As for the formation energy from the elements: 998.2 meV/atom. As for the volume: 20.015 Å³/atom. The crystal system is trigonal.

***

Record 3
VASP calculation (SCAN) on a crystal of LaYCd2O relaxed with PBEsol.

```
LaYCd2O
1.0
5.454 0.000 0.000
0.000 5.454 0.000
0.000 0.000 4.297
La Y Cd O
1 1 2 1
direct
0.000 0.000 0.000
0.500 0.500 0.000
0.000 0.500 0.500
0.500 0.000 0.500
0.000 0.000 0.500
```

Values from the calculation:
Its space group is P4/mmm. As for the density of states at the Fermi level: 0.700 states/eV/atom. The formation energy from raw total energies comes out at -900 meV per atom. As for the volume: 25.562 Å³/atom. The crystal system is tetragonal.

***

Record 4
VASP calculation (SCAN) on a crystal of La2Sc relaxed with PBEsol.

```
La2Sc
1.0
5.951 -1.804 0.000
5.951 1.804 0.000
-3.399 0.000 8.475
La Sc
4 2
direct
0.000 0.000 0.213
0.000 0.000 0.787
0.346 0.346 0.426
0.654 0.654 0.574
0.306 0.306 0.903
0.694 0.694 0.097
```

Values from the calculation:
Its space group is C2/m. As for the density of states at the Fermi level: 1.403 states/eV/atom. As for the formation energy from the elements: 70.2 meV/atom. As for the volume: 30.331 Å³/atom. The crystal system is monoclinic.

***

The lowest volume belongs to which entry?
SrLiOs

***

Which formula does entry 4 have?
La2Sc

***

Please write out number 4 again, unchanged.
VASP calculation (SCAN) on a crystal of La2Sc relaxed with PBEsol.

```
La2Sc
1.0
5.951 -1.804 0.000
5.951 1.804 0.000
-3.399 0.000 8.475
La Sc
4 2
direct
0.000 0.000 0.213
0.000 0.000 0.787
0.346 0.346 0.426
0.654 0.654 0.574
0.306 0.306 0.903
0.694 0.694 0.097
```

Values from the calculation:
Its space group is C2/m. As for the density of states at the Fermi level: 1.403 states/eV/atom. As for the formation energy from the elements: 70.2 meV/atom. As for the volume: 30.331 Å³/atom. The crystal system is monoclinic.

***

Which value of volume does entry 1 give?
23.578 Å³/atom